Record 1
A plane-wave DFT calculation with PBE-GGA was carried out for a relaxed CsCoCl3 crystal.

Output
Electronic total energy, eV per atom: -3.8754
Magnetization, μB/f.u.: 3.00
Theoretical density, g/cm3: 3.69

abc: 7.2492 7.2492 5.9035
angles: 90.00 90.00 120.00
Atoms (fractional coordinates):
Cs 0.3333 0.6667 0.2500
Cs 0.6667 0.3333 0.7500
Co 0.0000 0.0000 0.0000
Co 0.0000 0.0000 0.5000
Cl 0.1539 0.3078 0.7500
Cl 0.1539 0.8461 0.7500
Cl 0.3078 0.1539 0.2500
Cl 0.6922 0.8461 0.7500
Cl 0.8461 0.1539 0.2500
Cl 0.8461 0.6922 0.2500



Record 2
A plane-wave DFT calculation with PBE-GGA was carried out for a relaxed ScGa2W crystal.

Output
Electronic total energy, eV per atom: -6.0195
Magnetization, μB/f.u.: 0.01
Theoretical density, g/cm3: 9.08

abc: 4.5660 4.5660 4.5660
angles: 60.00 60.00 60.00
Atoms (fractional coordinates):
Sc 0.0000 0.0000 0.0000
Ga 0.5000 0.5000 0.5000
Ga 0.7500 0.7500 0.7500
W 0.2500 0.2500 0.2500



Record 3
A plane-wave DFT calculation with PBE-GGA was carried out for a relaxed Nd2AgO4 crystal.

Output
Electronic total energy, eV per atom: -6.7506
Magnetization, μB/f.u.: 1.00
Theoretical density, g/cm3: 6.25

abc: 7.0216 7.0216 7.0216
angles: 60.00 60.00 60.00
Atoms (fractional coordinates):
Nd 0.0000 0.0000 0.0000
Nd 0.0000 0.0000 0.5000
Nd 0.0000 0.5000 0.0000
Nd 0.5000 0.0000 0.0000
Ag 0.3750 0.3750 0.3750
Ag 0.6250 0.6250 0.6250
O 0.2150 0.7617 0.7617
O 0.2383 0.2383 0.2383
O 0.2383 0.2383 0.7850
O 0.2383 0.7850 0.2383
O 0.7617 0.2150 0.7617
O 0.7617 0.7617 0.2150
O 0.7617 0.7617 0.7617
O 0.7850 0.2383 0.2383



Record 4
A plane-wave DFT calculation with PBE-GGA was carried out for a relaxed Li2AgAu crystal.

Output
Energy above the most stable polymorph in this dataset, meV/atom: 7.4
Theoretical density, g/cm3: 8.54

abc: 4.2394 4.2394 3.4466
angles: 90.00 90.00 90.00
Atoms (fractional coordinates):
Li 0.0000 0.5000 0.0000
Li 0.5000 0.0000 0.0000
Ag 0.0000 0.0000 0.5000
Au 0.5000 0.5000 0.5000